[1]
AcCdBiIr | PBE | optimized geometry

a = 7.4371 Å, b = 7.4371 Å, c = 7.4371 Å
α = 90.00°, β = 90.00°, γ = 90.00°
Fractional positions:
Ac: 0.0000 0.0000 0.0000
Ac: 0.0000 0.5000 0.5000
Ac: 0.5000 0.0000 0.5000
Ac: 0.5000 0.5000 0.0000
Cd: 0.2500 0.2500 0.7500
Cd: 0.2500 0.7500 0.2500
Cd: 0.7500 0.2500 0.2500
Cd: 0.7500 0.7500 0.7500
Bi: 0.0000 0.0000 0.5000
Bi: 0.0000 0.5000 0.0000
Bi: 0.5000 0.0000 0.0000
Bi: 0.5000 0.5000 0.5000
Ir: 0.2500 0.2500 0.2500
Ir: 0.2500 0.7500 0.7500
Ir: 0.7500 0.2500 0.7500
Ir: 0.7500 0.7500 0.2500

- D(E_F) (states/eV per cell) = 17.250
- energy of formation from the pure elements (eV per atom) = -0.11

[2]
K2AcCdBi2 | PBE | optimized geometry

a = 4.9505 Å, b = 10.1468 Å, c = 9.0847 Å
α = 90.00°, β = 90.00°, γ = 90.00°
Fractional positions:
K: 0.0000 0.0825 0.0000
K: 0.0000 0.9175 0.5000
K: 0.5000 0.1640 0.3273
K: 0.5000 0.8360 0.8273
Ac: 0.5000 0.4625 0.9437
Ac: 0.5000 0.5375 0.4437
Cd: 0.0000 0.3156 0.5995
Cd: 0.0000 0.6844 0.0995
Bi: 0.0000 0.3985 0.2102
Bi: 0.0000 0.6016 0.7102
Bi: 0.5000 0.1834 0.7238
Bi: 0.5000 0.8166 0.2238

- D(E_F) (states/eV per cell) = 3.817
- energy of formation from the pure elements (eV per atom) = -0.49

[3]
KAcCdBi | PBE | optimized geometry

a = 8.2961 Å, b = 8.2961 Å, c = 8.2961 Å
α = 90.00°, β = 90.00°, γ = 90.00°
Fractional positions:
K: 0.0000 0.0000 0.0000
K: 0.0000 0.5000 0.5000
K: 0.5000 0.0000 0.5000
K: 0.5000 0.5000 0.0000
Ac: 0.0000 0.0000 0.5000
Ac: 0.0000 0.5000 0.0000
Ac: 0.5000 0.0000 0.0000
Ac: 0.5000 0.5000 0.5000
Cd: 0.2500 0.2500 0.7500
Cd: 0.2500 0.7500 0.2500
Cd: 0.7500 0.2500 0.2500
Cd: 0.7500 0.7500 0.7500
Bi: 0.2500 0.2500 0.2500
Bi: 0.2500 0.7500 0.7500
Bi: 0.7500 0.2500 0.7500
Bi: 0.7500 0.7500 0.2500

- D(E_F) (states/eV per cell) = 10.276
- energy of formation from the pure elements (eV per atom) = -0.34